VASP calculation (GGA+U) on a relaxed structure of Pm2MoO5.

## Properties
DOS(E_F): 0.00 states/eV/f.u.
E: -7.94 eV per atom
Mass density: 6.57 g/cm³

Cell: 3.824 7.642 16.129 Å, 90.00 90.00 90.00°
Each line ends with the local moment (μB).
Atoms (fractional coordinates):
Mo  0.250  0.616  0.930  1.89
Mo  0.250  0.116  0.570  1.89
Mo  0.750  0.884  0.430  1.89
Mo  0.750  0.384  0.070  1.89
O  0.750  0.151  0.998  0.02
O  0.250  0.794  0.832  0.03
O  0.250  0.349  0.498  0.02
O  0.250  0.849  0.002  0.02
O  0.750  0.651  0.502  0.02
O  0.250  0.910  0.651  0.01
O  0.750  0.206  0.168  0.03
O  0.750  0.090  0.349  0.01
O  0.750  0.590  0.151  0.01
O  0.750  0.706  0.332  0.03
O  0.250  0.401  0.324  0.00
O  0.250  0.408  0.034  -0.03
O  0.750  0.599  0.676  0.00
O  0.250  0.901  0.176  0.00
O  0.250  0.908  0.466  -0.03
O  0.250  0.294  0.668  0.03
O  0.250  0.410  0.849  0.01
O  0.750  0.099  0.824  0.00
O  0.750  0.592  0.966  -0.03
O  0.750  0.092  0.534  -0.03
Pm  0.750  0.861  0.741  0.01
Pm  0.250  0.639  0.241  0.01
Pm  0.750  0.908  0.088  0.01
Pm  0.250  0.092  0.912  0.01
Pm  0.250  0.139  0.259  0.01
Pm  0.750  0.361  0.759  0.01
Pm  0.250  0.592  0.588  0.01
Pm  0.750  0.408  0.412  0.01

---

VASP calculation (GGA+U) on a relaxed structure of Pm4Mo6O19.

## Properties
DOS(E_F): 2.01 states/eV/f.u.
E: -7.56 eV per atom
Mass density: 6.64 g/cm³

Cell: 7.799 7.799 7.799 Å, 109.47 109.47 109.47°
Each line ends with the local moment (μB).
Atoms (fractional coordinates):
O  0.321  0.321  0.000  0.03
O  0.000  0.679  0.679  0.03
O  0.384  0.625  0.668  0.00
O  0.375  0.759  0.042  0.00
O  0.759  0.042  0.375  0.00
O  0.625  0.668  0.384  0.00
O  0.000  0.000  0.000  0.00
O  0.241  0.616  0.283  0.00
O  0.000  0.321  0.321  0.03
O  0.042  0.375  0.759  0.00
O  0.616  0.283  0.241  0.00
O  0.958  0.717  0.332  0.00
O  0.332  0.958  0.717  0.00
O  0.679  0.679  0.000  0.03
O  0.679  0.000  0.679  0.03
O  0.283  0.241  0.616  0.00
O  0.321  0.000  0.321  0.03
O  0.668  0.384  0.625  0.00
O  0.717  0.332  0.958  0.00
Pm  0.691  0.000  0.000  0.01
Pm  0.000  0.691  0.000  0.01
Pm  0.309  0.309  0.309  0.01
Pm  0.000  0.000  0.691  0.01
Mo  0.358  0.500  0.858  0.61
Mo  0.142  0.642  0.500  0.61
Mo  0.858  0.358  0.500  0.61
Mo  0.642  0.500  0.142  0.61
Mo  0.500  0.858  0.358  0.61
Mo  0.500  0.142  0.642  0.61

---

VASP calculation (GGA+U) on a relaxed structure of Pm2MoO6.

## Properties
DOS(E_F): 0.00 states/eV/f.u.
E: -7.81 eV per atom
Mass density: 5.97 g/cm³

Cell: 5.565 5.959 8.131 Å, 90.00 96.20 90.00°
Atoms (fractional coordinates):
Pm  0.042  0.579  0.236
Pm  0.458  0.079  0.264
Pm  0.958  0.421  0.764
Pm  0.542  0.921  0.736
O  0.217  0.329  0.048
O  0.339  0.587  0.788
O  0.161  0.087  0.712
O  0.839  0.913  0.288
O  0.357  0.761  0.100
O  0.643  0.239  0.900
O  0.717  0.171  0.548
O  0.143  0.261  0.400
O  0.283  0.829  0.452
O  0.661  0.413  0.212
O  0.857  0.739  0.600
O  0.783  0.671  0.952
Mo  0.500  0.500  0.000
Mo  0.000  0.000  0.500

---

VASP calculation (GGA+U) on a relaxed structure of Pm4MoO10.

## Properties
DOS(E_F): 9.80 states/eV/f.u.
E: -7.56 eV per atom
Mass density: 6.85 g/cm³

Cell: 5.493 6.666 6.666 Å, 80.23 65.67 65.67°
Each line ends with the local moment (μB).
Atoms (fractional coordinates):
O  0.399  0.916  0.730  0.20
O  0.250  0.500  0.500  0.10
O  0.315  0.730  0.084  0.20
O  0.601  0.084  0.270  0.20
O  0.045  0.084  0.270  0.20
O  0.685  0.270  0.916  0.20
O  0.955  0.916  0.730  0.20
O  0.750  0.500  0.500  0.10
O  0.872  0.730  0.084  0.20
O  0.128  0.270  0.916  0.20
Pm  0.402  0.795  0.402  -0.01
Pm  0.803  0.598  0.795  -0.01
Pm  0.197  0.402  0.205  -0.01
Pm  0.598  0.205  0.598  -0.01
Mo  0.000  0.000  0.000  -0.15

---

VASP calculation (GGA+U) on a relaxed structure of Pm6MoO12.

## Properties
DOS(E_F): 0.00 states/eV/f.u.
E: -8.10 eV per atom
Mass density: 6.71 g/cm³

Cell: 6.676 6.676 6.676 Å, 98.48 98.48 98.48°
Atoms (fractional coordinates):
Mo  0.000  0.000  0.000
O  0.823  0.562  0.408
O  0.592  0.177  0.438
O  0.071  0.968  0.290
O  0.032  0.710  0.929
O  0.929  0.032  0.710
O  0.177  0.438  0.592
O  0.968  0.290  0.071
O  0.438  0.592  0.177
O  0.710  0.929  0.032
O  0.290  0.071  0.968
O  0.562  0.408  0.823
O  0.408  0.823  0.562
Pm  0.612  0.311  0.144
Pm  0.144  0.612  0.311
Pm  0.388  0.689  0.856
Pm  0.689  0.856  0.388
Pm  0.311  0.144  0.612
Pm  0.856  0.388  0.689

---

VASP calculation (GGA+U) on a relaxed structure of PmMoO5.

## Properties
DOS(E_F): 2.08 states/eV/f.u.
E: -7.26 eV per atom
Mass density: 4.99 g/cm³

Cell: 5.663 5.663 7.749 Å, 70.26 70.26 70.99°
Each line ends with the local moment (μB).
Atoms (fractional coordinates):
O  0.210  0.238  0.887  0.25
O  0.704  0.280  0.963  0.20
O  0.238  0.210  0.387  0.25
O  0.929  0.071  0.250  0.10
O  0.296  0.720  0.037  0.20
O  0.280  0.704  0.463  0.20
O  0.762  0.790  0.613  0.25
O  0.071  0.929  0.750  0.10
O  0.790  0.762  0.113  0.25
O  0.720  0.296  0.537  0.20
Pm  0.555  0.445  0.250  -0.02
Pm  0.445  0.555  0.750  -0.02
Mo  0.000  0.000  0.500  -0.17
Mo  0.000  0.000  0.000  -0.17

---

VASP calculation (GGA+U) on a relaxed structure of Pm3Mo5O12.

## Properties
E: -7.57 eV per atom
Mass density: 6.22 g/cm³

Cell: 11.537 11.537 11.537 Å, 109.47 109.47 109.47°
Each line ends with the local moment (μB).
Atoms (fractional coordinates):
Mo  0.750  0.625  0.375  2.62
Mo  0.000  0.500  0.000  2.75
Mo  0.000  0.000  0.000  2.75
Mo  0.875  0.625  0.750  2.62
Mo  0.000  0.000  0.500  2.75
Mo  0.375  0.125  0.750  2.62
Mo  0.500  0.500  0.500  2.75
Mo  0.750  0.125  0.875  2.62
Mo  0.250  0.375  0.625  2.62
Mo  0.375  0.250  0.125  2.62
Mo  0.625  0.875  0.250  2.62
Mo  0.500  0.000  0.500  2.75
Mo  0.125  0.750  0.375  2.62
Mo  0.625  0.750  0.875  2.62
Mo  0.500  0.000  0.000  2.75
Mo  0.125  0.375  0.250  2.62
Mo  0.000  0.500  0.500  2.75
Mo  0.875  0.250  0.625  2.62
Mo  0.250  0.875  0.125  2.62
Mo  0.500  0.500  0.000  2.75
O  0.569  0.862  0.399  0.04
O  0.399  0.362  0.569  0.04
O  0.899  0.830  0.536  0.04
O  0.670  0.207  0.569  0.04
O  0.101  0.931  0.138  0.04
O  0.707  0.138  0.036  0.04
O  0.964  0.601  0.170  0.04
O  0.830  0.899  0.036  0.04
O  0.330  0.536  0.399  0.04
O  0.293  0.431  0.830  0.04
O  0.362  0.399  0.069  0.04
O  0.464  0.670  0.101  0.04
O  0.638  0.601  0.931  0.04
O  0.899  0.069  0.862  0.04
O  0.207  0.536  0.638  0.04
O  0.830  0.931  0.293  0.04
O  0.536  0.330  0.899  0.04
O  0.793  0.330  0.931  0.04
O  0.138  0.707  0.536  0.04
O  0.330  0.793  0.431  0.04
O  0.862  0.569  0.899  0.04
O  0.207  0.670  0.069  0.04
O  0.431  0.138  0.601  0.04
O  0.069  0.899  0.362  0.04
O  0.069  0.170  0.207  0.04
O  0.138  0.431  0.101  0.04
O  0.170  0.101  0.964  0.04
O  0.399  0.036  0.330  0.04
O  0.964  0.362  0.293  0.04
O  0.293  0.862  0.964  0.04
O  0.464  0.793  0.862  0.04
O  0.601  0.964  0.670  0.04
O  0.569  0.707  0.670  0.04
O  0.036  0.399  0.830  0.04
O  0.931  0.830  0.793  0.04
O  0.536  0.207  0.138  0.04
O  0.670  0.464  0.601  0.04
O  0.793  0.464  0.362  0.04
O  0.362  0.964  0.793  0.04
O  0.170  0.069  0.707  0.04
O  0.431  0.293  0.330  0.04
O  0.036  0.638  0.707  0.04
O  0.638  0.036  0.207  0.04
O  0.101  0.170  0.464  0.04
O  0.601  0.638  0.431  0.04
O  0.931  0.101  0.638  0.04
O  0.862  0.293  0.464  0.04
O  0.707  0.569  0.170  0.04
Pm  0.375  0.750  0.625  0.04
Pm  0.625  0.375  0.750  0.04
Pm  0.625  0.250  0.375  0.04
Pm  0.375  0.625  0.250  0.04
Pm  0.250  0.125  0.375  0.04
Pm  0.750  0.875  0.625  0.04
Pm  0.875  0.125  0.250  0.04
Pm  0.875  0.750  0.125  0.04
Pm  0.125  0.875  0.750  0.04
Pm  0.125  0.250  0.875  0.04
Pm  0.750  0.375  0.125  0.04
Pm  0.250  0.625  0.875  0.04

---

VASP calculation (GGA+U) on a relaxed structure of PmMoO4.

## Properties
Distance to the lowest polymorph of the same formula: 0.257 eV/atom
E: -7.50 eV per atom
Mass density: 2.68 g/cm³

Cell: 6.886 6.886 6.290 Å, 123.19 123.19 90.00°
Each line ends with the local moment (μB).
Atoms (fractional coordinates):
O  0.671  0.385  0.227  0.01
O  0.159  0.329  0.773  0.01
O  0.615  0.444  0.773  0.01
O  0.556  0.841  0.227  0.01
Mo  0.500  0.500  0.000  0.86
Pm  0.750  0.250  0.500  0.02

---

VASP calculation (GGA+U) on a relaxed structure of PmPrMo2O8.

## Properties
E: -7.73 eV per atom
Mass density: 6.00 g/cm³

Cell: 5.384 5.384 6.928 Å, 112.87 112.87 90.00°
Each line ends with the local moment (μB).
Atoms (fractional coordinates):
O  0.008  0.412  0.336  0.01
O  0.328  0.924  0.336  0.01
O  0.674  0.254  0.839  0.01
O  0.746  0.835  0.161  0.01
O  0.076  0.992  0.664  0.01
O  0.415  0.326  0.161  0.01
O  0.165  0.585  0.839  0.01
O  0.588  0.672  0.664  0.01
Pr  0.750  0.250  0.500  0.02
Mo  0.500  0.500  0.000  0.91
Mo  0.250  0.750  0.500  0.91
Pm  0.000  0.000  0.000  0.03

---

VASP calculation (GGA+U) on a relaxed structure of Pm2PrMoO8.

## Properties
DOS(E_F): 6.11 states/eV/f.u.
E: -7.65 eV per atom
Mass density: 5.71 g/cm³

Cell: 5.190 5.191 7.071 Å, 90.00 90.00 90.28°
Each line ends with the local moment (μB).
Atoms (fractional coordinates):
Pm  0.500  0.500  0.244  -0.01
Pm  0.500  0.500  0.756  -0.01
O  0.733  0.734  0.000  0.16
O  0.314  0.312  0.500  0.11
O  0.180  0.819  0.203  0.09
O  0.820  0.181  0.203  0.09
O  0.180  0.819  0.797  0.09
O  0.686  0.688  0.500  0.11
O  0.267  0.266  0.000  0.16
O  0.820  0.181  0.797  0.09
Mo  0.000  0.000  0.000  -0.10
Pr  0.000  0.000  0.500  0.00

---

VASP calculation (GGA+U) on a relaxed structure of RbPmMoO5.

## Properties
E: -6.94 eV per atom
Mass density: 4.21 g/cm³

Cell: 6.616 6.616 8.381 Å, 104.73 104.73 105.74°
Atoms (fractional coordinates):
O  0.403  0.236  0.104
O  0.868  0.301  0.124
O  0.132  0.699  0.876
O  0.931  0.069  0.750
O  0.597  0.764  0.896
O  0.699  0.132  0.376
O  0.069  0.931  0.250
O  0.301  0.868  0.624
O  0.764  0.597  0.396
O  0.236  0.403  0.604
Mo  0.315  0.685  0.750
Mo  0.685  0.315  0.250
Rb  0.322  0.678  0.250
Rb  0.678  0.322  0.750
Pm  0.000  0.000  0.500
Pm  0.000  0.000  0.000

---

VASP calculation (GGA+U) on a relaxed structure of Rb2PmMoO6.

## Properties
DOS(E_F): 1.44 states/eV/f.u.
E: -6.20 eV per atom
Mass density: 3.70 g/cm³

Cell: 6.043 6.602 6.602 Å, 120.00 90.00 90.00°
Each line ends with the local moment (μB).
Atoms (fractional coordinates):
O  0.200  0.866  0.732  0.16
O  0.200  0.268  0.134  0.16
O  0.200  0.866  0.134  0.16
O  0.800  0.134  0.866  0.16
O  0.800  0.732  0.866  0.16
O  0.800  0.134  0.268  0.16
Pm  0.500  0.000  0.000  -0.02
Rb  0.091  0.333  0.667  0.00
Rb  0.909  0.667  0.333  0.00
Mo  0.000  0.000  0.000  -0.14

---

VASP calculation (GGA+U) on a relaxed structure of Rb3Pm3MoO8.

## Properties
DOS(E_F): 0.00 states/eV/f.u.
E: -6.69 eV per atom
Mass density: 5.33 g/cm³

Cell: 7.015 7.068 7.773 Å, 116.97 90.00 119.75°
Each line ends with the local moment (μB).
Atoms (fractional coordinates):
O  0.724  0.449  0.677  0.00
O  0.203  0.960  0.664  0.01
O  0.211  0.422  0.668  0.03
O  0.243  0.040  0.336  0.01
O  0.797  0.040  0.336  0.01
O  0.757  0.960  0.664  0.01
O  0.789  0.578  0.332  0.03
O  0.276  0.551  0.323  0.00
Rb  0.000  0.000  0.000  0.00
Rb  0.000  0.500  0.000  0.00
Rb  0.500  0.500  0.000  0.00
Pm  0.000  0.500  0.500  0.01
Pm  0.500  0.000  0.500  0.00
Pm  0.500  0.500  0.500  0.01
Mo  0.000  0.000  0.500  1.85

---

VASP calculation (GGA+U) on a relaxed structure of Rb3Pm2MoO6.

## Properties
DOS(E_F): 0.00 states/eV/f.u.
E: -6.32 eV per atom
Mass density: 5.77 g/cm³

Cell: 6.124 6.124 6.850 Å, 98.54 98.54 119.99°
Each line ends with the local moment (μB).
Atoms (fractional coordinates):
Rb  0.163  0.837  0.500  0.00
Rb  0.837  0.163  0.500  0.00
Rb  0.500  0.500  0.500  0.00
Pm  0.333  0.667  0.000  0.00
Pm  0.667  0.333  0.000  0.00
O  0.623  0.941  0.822  0.02
O  0.377  0.059  0.178  0.02
O  0.258  0.258  0.822  0.02
O  0.742  0.742  0.178  0.02
O  0.059  0.377  0.178  0.02
O  0.941  0.623  0.822  0.02
Mo  0.000  0.000  0.000  2.70

---

VASP calculation (GGA+U) on a relaxed structure of PmMoRhO6.

## Properties
E: -7.12 eV per atom
Mass density: 6.63 g/cm³

Cell: 5.518 5.518 8.359 Å, 90.00 90.00 120.00°
Atoms (fractional coordinates):
O  0.358  0.057  0.120
O  0.358  0.300  0.380
O  0.057  0.700  0.880
O  0.943  0.300  0.120
O  0.642  0.943  0.880
O  0.700  0.057  0.380
O  0.700  0.642  0.120
O  0.300  0.943  0.620
O  0.057  0.358  0.620
O  0.300  0.358  0.880
O  0.943  0.642  0.380
O  0.642  0.700  0.620
Pm  0.667  0.333  0.750
Pm  0.333  0.667  0.250
Rh  0.000  0.000  0.000
Rh  0.000  0.000  0.500
Mo  0.333  0.667  0.750
Mo  0.667  0.333  0.250